(1)
A plane-wave DFT calculation with PBE was carried out for a geometry-optimized Ce2TlOs structure.

Results
The volume is 414.5 Å³ per cell. The formation energy is -0.24 eV per atom. The polymorph energy (0 for the lowest one) comes out at 9 meV/atom. The calculation puts the total energy at -0.485 Ry per atom.

CIF file:
```
data_Ce2TlOs
_cell_length_a 14.050
_cell_length_b 3.845
_cell_length_c 7.682
_cell_angle_alpha 90.00
_cell_angle_beta 92.91
_cell_angle_gamma 90.00
_symmetry_space_group_name_H-M 'C 1 2/m 1'
_symmetry_Int_Tables_number 12
_symmetry_space_group_name_Hall '-C 2y'
loop_
_atom_site_label
_atom_site_fract_x
_atom_site_fract_y
_atom_site_fract_z
Ce1 0.044 0.000 0.298
Ce2 0.232 0.000 0.693
Tl1 0.112 0.500 0.962
Os1 0.106 0.500 0.560
```

***

(2)
A plane-wave DFT calculation with PBE was carried out for a geometry-optimized Ce6TlOs3 structure.

Results
The volume is 545.8 Å³ per cell. The formation energy is -0.13 eV per atom. The calculation puts the total energy at -0.536 Ry per atom.

CIF file:
```
data_Ce6TlOs3
_cell_length_a 11.501
_cell_length_b 4.121
_cell_length_c 12.021
_cell_angle_alpha 90.00
_cell_angle_beta 106.66
_cell_angle_gamma 90.00
_symmetry_space_group_name_H-M 'P 1 21/m 1'
_symmetry_Int_Tables_number 11
_symmetry_space_group_name_Hall '-P 2yb'
loop_
_atom_site_label
_atom_site_fract_x
_atom_site_fract_y
_atom_site_fract_z
Ce1 0.020 0.250 0.390
Ce2 0.115 0.250 0.961
Ce3 0.198 0.750 0.256
Ce4 0.268 0.750 0.767
Ce5 0.347 0.250 0.543
Ce6 0.416 0.750 0.084
Tl1 0.442 0.250 0.304
Os1 0.025 0.250 0.165
Os2 0.179 0.750 0.496
Os3 0.342 0.250 0.917
```

***

(3)
A plane-wave DFT calculation with PBE was carried out for a geometry-optimized Ce5Tl2Os structure.

Results
The volume is 457.9 Å³ per cell. The formation energy is -0.18 eV per atom. The calculation puts the total energy at -0.432 Ry per atom.

CIF file:
```
data_Ce5Tl2Os
_cell_length_a 7.802
_cell_length_b 12.275
_cell_length_c 4.781
_cell_angle_alpha 90.00
_cell_angle_beta 90.00
_cell_angle_gamma 90.00
_symmetry_space_group_name_H-M 'P b a m'
_symmetry_Int_Tables_number 55
_symmetry_space_group_name_Hall '-P 2 2ab'
loop_
_atom_site_label
_atom_site_fract_x
_atom_site_fract_y
_atom_site_fract_z
Ce1 0.000 0.000 0.000
Ce2 0.130 0.298 0.000
Ce3 0.194 0.563 0.500
Tl1 0.087 0.826 0.500
Os1 0.000 0.500 0.000
```

***

(4)
A plane-wave DFT calculation with PBE was carried out for a geometry-optimized Ce4Tl3Os structure.

Results
The volume is 416.8 Å³ per cell. The formation energy is -0.07 eV per atom. The calculation puts the total energy at -0.392 Ry per atom.

CIF file:
```
data_Ce4Tl3Os
_cell_length_a 9.947
_cell_length_b 6.560
_cell_length_c 6.387
_cell_angle_alpha 90.00
_cell_angle_beta 90.00
_cell_angle_gamma 90.00
_symmetry_space_group_name_H-M 'P m n 21'
_symmetry_Int_Tables_number 31
_symmetry_space_group_name_Hall 'P 2ac -2'
loop_
_atom_site_label
_atom_site_fract_x
_atom_site_fract_y
_atom_site_fract_z
Ce1 0.000 0.000 0.000
Ce2 0.000 0.413 0.626
Ce3 0.222 0.225 0.386
Tl1 0.000 0.506 0.111
Tl2 0.211 0.734 0.390
Os1 0.000 0.968 0.607
```

***

(5)
A plane-wave DFT calculation with PBE was carried out for a geometry-optimized Ce2TlOs structure.

Results
The volume is 96.4 Å³ per cell. The formation energy is -0.25 eV per atom. The polymorph energy (0 for the lowest one) comes out at 0 meV/atom. The calculation puts the total energy at -0.486 Ry per atom.

CIF file:
```
data_Ce2TlOs
_cell_length_a 3.282
_cell_length_b 3.282
_cell_length_c 8.947
_cell_angle_alpha 90.00
_cell_angle_beta 90.00
_cell_angle_gamma 90.00
_symmetry_space_group_name_H-M 'P 4/m m m'
_symmetry_Int_Tables_number 123
_symmetry_space_group_name_Hall '-P 4 2'
loop_
_atom_site_label
_atom_site_fract_x
_atom_site_fract_y
_atom_site_fract_z
Ce1 0.000 0.000 0.206
Tl1 0.500 0.500 0.500
Os1 0.500 0.500 0.000
```

***

(6)
A plane-wave DFT calculation with PBE was carried out for a geometry-optimized Ce8Tl2Os structure.

Results
The volume is 572.9 Å³ per cell. The formation energy is -0.11 eV per atom. The calculation puts the total energy at -0.432 Ry per atom.

CIF file:
```
data_Ce8Tl2Os
_cell_length_a 16.900
_cell_length_b 5.254
_cell_length_c 6.824
_cell_angle_alpha 90.00
_cell_angle_beta 108.98
_cell_angle_gamma 90.00
_symmetry_space_group_name_H-M 'C 1 2/m 1'
_symmetry_Int_Tables_number 12
_symmetry_space_group_name_Hall '-C 2y'
loop_
_atom_site_label
_atom_site_fract_x
_atom_site_fract_y
_atom_site_fract_z
Ce1 0.003 0.000 0.301
Ce2 0.100 0.500 0.397
Ce3 0.147 0.500 0.897
Ce4 0.188 0.000 0.142
Tl1 0.196 0.000 0.652
Os1 0.000 0.500 0.000
```

***

(7)
A plane-wave DFT calculation with PBE was carried out for a geometry-optimized Ce4TlOs structure.

Results
The volume is 615.6 Å³ per cell. The formation energy is -0.18 eV per atom. The calculation puts the total energy at -0.471 Ry per atom.

CIF file:
```
data_Ce4TlOs
_cell_length_a 8.785
_cell_length_b 12.383
_cell_length_c 5.961
_cell_angle_alpha 90.00
_cell_angle_beta 108.31
_cell_angle_gamma 90.00
_symmetry_space_group_name_H-M 'C 1 2/c 1'
_symmetry_Int_Tables_number 15
_symmetry_space_group_name_Hall '-C 2yc'
loop_
_atom_site_label
_atom_site_fract_x
_atom_site_fract_y
_atom_site_fract_z
Ce1 0.127 0.188 0.082
Ce2 0.233 0.395 0.347
Tl1 0.000 0.396 0.750
Os1 0.000 0.003 0.750
```

***

(8)
A plane-wave DFT calculation with PBE was carried out for a geometry-optimized Ce6Tl3Os structure.

Results
The volume is 569.5 Å³ per cell. The formation energy is -0.09 eV per atom. The calculation puts the total energy at -0.403 Ry per atom.

CIF file:
```
data_Ce6Tl3Os
_cell_length_a 10.308
_cell_length_b 6.877
_cell_length_c 8.323
_cell_angle_alpha 90.00
_cell_angle_beta 105.14
_cell_angle_gamma 90.00
_symmetry_space_group_name_H-M 'C 1 2/m 1'
_symmetry_Int_Tables_number 12
_symmetry_space_group_name_Hall '-C 2y'
loop_
_atom_site_label
_atom_site_fract_x
_atom_site_fract_y
_atom_site_fract_z
Ce1 0.121 0.207 0.372
Ce2 0.147 0.500 0.860
Tl1 0.000 0.000 0.000
Tl2 0.183 0.000 0.752
Os1 0.000 0.500 0.500
```

***

(9)
A plane-wave DFT calculation with PBE was carried out for a geometry-optimized Ce4TlOs2 structure.

Results
The volume is 352.3 Å³ per cell. The formation energy is -0.17 eV per atom. The calculation puts the total energy at -0.522 Ry per atom.

CIF file:
```
data_Ce4TlOs2
_cell_length_a 6.893
_cell_length_b 7.104
_cell_length_c 8.581
_cell_angle_alpha 108.06
_cell_angle_beta 107.13
_cell_angle_gamma 104.99
_symmetry_space_group_name_H-M 'P 1'
_symmetry_Int_Tables_number 1
_symmetry_space_group_name_Hall 'P 1'
loop_
_atom_site_label
_atom_site_fract_x
_atom_site_fract_y
_atom_site_fract_z
Ce1 0.000 0.000 0.000
Ce2 0.049 0.727 0.606
Ce3 0.312 0.171 0.482
Ce4 0.383 0.562 0.276
Ce5 0.474 0.627 0.877
Ce6 0.539 0.192 0.007
Ce7 0.771 0.130 0.401
Ce8 0.941 0.441 0.882
Tl1 0.600 0.928 0.659
Tl2 0.884 0.710 0.224
Os1 0.003 0.352 0.262
Os2 0.161 0.206 0.771
Os3 0.332 0.877 0.112
Os4 0.683 0.532 0.620
```

***

(10)
A plane-wave DFT calculation with PBE was carried out for a geometry-optimized Ce7Tl3Os2 structure.

Results
The volume is 714.9 Å³ per cell. The formation energy is -0.12 eV per atom. The calculation puts the total energy at -0.445 Ry per atom.

CIF file:
```
data_Ce7Tl3Os2
_cell_length_a 5.254
_cell_length_b 25.687
_cell_length_c 5.297
_cell_angle_alpha 90.00
_cell_angle_beta 90.00
_cell_angle_gamma 90.00
_symmetry_space_group_name_H-M 'C m m m'
_symmetry_Int_Tables_number 65
_symmetry_space_group_name_Hall '-C 2 2'
loop_
_atom_site_label
_atom_site_fract_x
_atom_site_fract_y
_atom_site_fract_z
Ce1 0.000 0.000 0.000
Ce2 0.000 0.092 0.500
Ce3 0.000 0.220 0.000
Ce4 0.000 0.387 0.000
Tl1 0.000 0.305 0.500
Tl2 0.000 0.500 0.500
Os1 0.000 0.110 0.000
```